Below is crystalline KCd3Se4O12 at its relaxed geometry, with properties calculated at the PBE-GGA level.

The space group is R32 (No. 155, hexagonal axes) and the conventional cell measures 11.9165, 11.9165 and 8.6289 Å, with angles of 90.00, 90.00 and 120.00 degrees. The asymmetric unit holds K at (0.0000, 0.0000, 0.0000), Cd at (0.0000, 0.5595, 0.0000), Se at (0.0000, 0.0000, 0.5000), Se at (0.0000, 0.4450, 0.5000), O at (0.0000, 0.6024, 0.5000), O at (0.0000, 0.8488, 0.5000) and O at (0.0389, 0.2296, 0.1833).

The uncorrected formation energy comes out at -608 meV per atom.